1.
A relaxed La2CuNiH6 crystal. Source: Alexandria, functional PBE.

Computed properties:
Total energy (eV for the cell shown): -43.84

Cell lengths 5.250, 5.250, 5.234 Å; angles 60.69, 60.69, 91.38 degrees
Fractional positions:
H  0.738  0.738  0.998
H  0.734  0.734  0.533
H  0.266  0.266  0.467
H  0.268  0.732  0.000
H  0.262  0.262  0.002
H  0.732  0.268  0.000
Cu  0.000  0.000  0.000
La  0.750  0.250  0.500
La  0.250  0.750  0.500
Ni  0.500  0.500  0.000


2.
A relaxed LaCuH2O4 crystal. Source: Alexandria, functional PBE.

Computed properties:
Total energy (eV for the cell shown): -47.64

Cell lengths 4.765, 4.868, 4.868 Å; angles 70.06, 60.70, 60.70 degrees
Fractional positions:
O  0.414  0.208  0.413
O  0.965  0.413  0.208
O  0.035  0.792  0.587
O  0.586  0.587  0.792
Cu  0.500  0.500  0.500
H  0.182  0.318  0.318
H  0.818  0.682  0.682
La  0.000  0.000  0.000


3.
A relaxed La2CuHOs crystal. Source: Alexandria, functional PBE.

Computed properties:
Total energy (eV for the cell shown): -29.24

Cell lengths 5.127, 5.127, 3.734 Å; angles 90.00, 90.00, 90.00 degrees
Fractional positions:
Os  0.000  0.000  0.500
La  0.500  0.000  0.000
La  0.000  0.500  0.000
H  0.000  0.000  0.000
Cu  0.500  0.500  0.500


4.
A relaxed La2CuPH crystal. Source: Alexandria, functional PBE.

Computed properties:
Total energy (eV for the cell shown): -23.92

Cell lengths 5.397, 3.683, 5.397 Å; angles 90.00, 90.00, 90.00 degrees
Fractional positions:
Cu  0.000  0.000  0.000
H  0.000  0.500  0.000
La  0.500  0.000  0.000
La  0.000  0.000  0.500
P  0.500  0.500  0.500


5.
A relaxed La3Cu2P4H2 crystal. Source: Alexandria, functional PBE.

Computed properties:
Total energy (eV for the cell shown): -57.65

Cell lengths 4.167, 4.167, 12.447 Å; angles 99.64, 99.64, 90.00 degrees
Fractional positions:
La  0.181  0.181  0.362
La  0.819  0.819  0.638
La  0.000  0.000  0.000
P  0.597  0.097  0.194
P  0.903  0.403  0.806
P  0.097  0.597  0.194
P  0.403  0.903  0.806
H  0.284  0.284  0.569
H  0.716  0.716  0.431
Cu  0.551  0.551  0.102
Cu  0.449  0.449  0.898


6.
A relaxed LaCu2PH2 crystal. Source: Alexandria, functional PBE.

Computed properties:
Total energy (eV for the cell shown): -56.38

Cell lengths 4.846, 6.039, 6.412 Å; angles 112.63, 90.00, 90.00 degrees
Fractional positions:
P  0.250  0.213  0.904
P  0.750  0.787  0.096
Cu  0.000  0.158  0.205
Cu  0.500  0.842  0.795
Cu  0.000  0.842  0.795
Cu  0.500  0.158  0.205
H  0.250  0.632  0.673
H  0.750  0.834  0.604
H  0.250  0.166  0.396
H  0.750  0.368  0.327
La  0.250  0.684  0.294
La  0.750  0.316  0.706


7.
A relaxed LaCuPH2 crystal. Source: Alexandria, functional PBE.

Computed properties:
Total energy (eV for the cell shown): -20.24

Cell lengths 3.885, 6.590, 3.885 Å; angles 90.00, 90.00, 90.00 degrees
Fractional positions:
H  0.500  0.000  0.000
H  0.000  0.000  0.500
P  0.500  0.500  0.500
La  0.000  0.500  0.000
Cu  0.000  0.000  0.000


8.
A relaxed La2CuHPb crystal. Source: Alexandria, functional PBE.

Computed properties:
Total energy (eV for the cell shown): -22.81

Cell lengths 5.202, 5.202, 4.236 Å; angles 90.00, 90.00, 90.00 degrees
Fractional positions:
H  0.000  0.000  0.000
La  0.500  0.000  0.000
La  0.000  0.500  0.000
Cu  0.000  0.000  0.500
Pb  0.500  0.500  0.500


9.
A relaxed LaCu2HPb crystal. Source: Alexandria, functional PBE.

Computed properties:
Total energy (eV for the cell shown): -18.59

Cell lengths 5.210, 3.936, 5.210 Å; angles 90.00, 90.00, 90.00 degrees
Fractional positions:
Pb  0.000  0.000  0.000
H  0.000  0.500  0.000
La  0.500  0.500  0.500
Cu  0.000  0.000  0.500
Cu  0.500  0.000  0.000


10.
A relaxed LaCuH6Pd crystal. Source: Alexandria, functional PBE.

Computed properties:
Total energy (eV for the cell shown): -36.90

Cell lengths 4.626, 4.626, 4.591 Å; angles 90.00, 90.00, 60.00 degrees
Fractional positions:
H  0.991  0.505  0.248
H  0.505  0.504  0.248
H  0.504  0.505  0.752
H  0.504  0.991  0.248
H  0.991  0.505  0.752
H  0.505  0.991  0.752
La  0.000  0.000  0.000
Pd  0.333  0.333  0.500
Cu  0.667  0.667  0.500


11.
A relaxed La2CuHPd crystal. Source: Alexandria, functional PBE.

Computed properties:
Polymorph energy (0 for the lowest one) (meV/atom): 25

Cell lengths 5.221, 5.221, 3.780 Å; angles 90.00, 90.00, 90.00 degrees
Fractional positions:
Cu  0.500  0.500  0.500
La  0.000  0.500  0.000
La  0.500  0.000  0.000
H  0.000  0.000  0.000
Pd  0.000  0.000  0.500


12.
A relaxed La2CuHPd crystal. Source: Alexandria, functional PBE.

Computed properties:
Polymorph energy (0 for the lowest one) (meV/atom): 0

Cell lengths 5.126, 3.817, 5.126 Å; angles 90.00, 90.00, 90.00 degrees
Fractional positions:
La  0.000  0.000  0.500
La  0.500  0.000  0.000
H  0.000  0.000  0.000
Cu  0.000  0.500  0.000
Pd  0.500  0.500  0.500


13.
A relaxed LaCuH6Pt2 crystal. Source: Alexandria, functional PBE.

Computed properties:
Total energy (eV for the cell shown): -44.62

Cell lengths 4.675, 4.675, 5.883 Å; angles 66.59, 66.59, 60.00 degrees
Fractional positions:
H  0.441  0.903  0.215
H  0.559  0.559  0.785
H  0.903  0.441  0.215
H  0.441  0.441  0.215
H  0.097  0.559  0.785
H  0.559  0.097  0.785
Cu  0.500  0.500  0.500
Pt  0.210  0.210  0.371
Pt  0.790  0.790  0.629
La  0.000  0.000  0.000


14.
A relaxed LaCuH8Pt2 crystal. Source: Alexandria, functional PBE.

Computed properties:
Total energy (eV for the cell shown): -49.72

Cell lengths 4.804, 4.804, 6.125 Å; angles 66.91, 66.91, 60.00 degrees
Fractional positions:
H  0.645  0.059  0.237
H  0.059  0.645  0.237
H  0.820  0.820  0.540
H  0.180  0.180  0.460
H  0.059  0.059  0.237
H  0.941  0.941  0.763
H  0.941  0.355  0.763
H  0.355  0.941  0.763
Cu  0.000  0.000  0.000
Pt  0.719  0.719  0.844
Pt  0.281  0.281  0.156
La  0.500  0.500  0.500


15.
A relaxed La2CuHPt6 crystal. Source: Alexandria, functional PBE.

Computed properties:
Total energy (eV for the cell shown): -60.66

Cell lengths 5.727, 7.057, 5.725 Å; angles 66.11, 60.01, 90.02 degrees
Fractional positions:
Pt  0.268  0.314  0.955
Pt  0.269  0.314  0.463
Pt  0.731  0.686  0.537
Pt  0.223  0.686  0.045
Pt  0.777  0.314  0.955
Pt  0.732  0.686  0.045
La  0.281  0.843  0.438
La  0.719  0.157  0.562
H  0.500  0.501  0.999
Cu  0.000  0.000  0.000


16.
A relaxed La2CuHPt crystal. Source: Alexandria, functional PBE.

Computed properties:
Polymorph energy (0 for the lowest one) (meV/atom): 56

Cell lengths 5.216, 5.216, 3.775 Å; angles 90.00, 90.00, 90.00 degrees
Fractional positions:
H  0.000  0.000  0.000
Cu  0.500  0.500  0.500
La  0.000  0.500  0.000
La  0.500  0.000  0.000
Pt  0.000  0.000  0.500


17.
A relaxed LaCu2H8Pt crystal. Source: Alexandria, functional PBE.

Computed properties:
Total energy (eV for the cell shown): -48.36

Cell lengths 4.537, 4.640, 7.110 Å; angles 49.37, 87.40, 90.08 degrees
Fractional positions:
Pt  0.000  0.000  0.000
H  0.500  0.228  0.500
H  0.759  0.631  0.108
H  0.124  0.701  0.300
H  0.759  0.154  0.107
H  0.500  0.772  0.500
H  0.241  0.369  0.892
H  0.241  0.846  0.893
H  0.876  0.299  0.700
Cu  0.502  0.275  0.726
Cu  0.498  0.725  0.274
La  0.000  0.000  0.500


18.
A relaxed La2CuHPt crystal. Source: Alexandria, functional PBE.

Computed properties:
Polymorph energy (0 for the lowest one) (meV/atom): 0

Cell lengths 5.131, 5.131, 3.774 Å; angles 90.00, 90.00, 90.00 degrees
Fractional positions:
La  0.000  0.500  0.000
La  0.500  0.000  0.000
H  0.000  0.000  0.000
Pt  0.500  0.500  0.500
Cu  0.000  0.000  0.500


19.
A relaxed LaCu2HPt crystal. Source: Alexandria, functional PBE.

Computed properties:
Total energy (eV for the cell shown): -22.62

Cell lengths 4.070, 4.799, 4.070 Å; angles 90.00, 90.00, 90.00 degrees
Fractional positions:
Cu  0.000  0.000  0.500
Cu  0.500  0.000  0.000
H  0.000  0.000  0.000
Pt  0.000  0.500  0.000
La  0.500  0.500  0.500


20.
A relaxed La2CuReH crystal. Source: Alexandria, functional PBE.

Computed properties:
Total energy (eV for the cell shown): -29.60

Cell lengths 5.201, 3.675, 5.201 Å; angles 90.00, 90.00, 90.00 degrees
Fractional positions:
La  0.000  0.000  0.500
La  0.500  0.000  0.000
Cu  0.500  0.500  0.500
H  0.000  0.000  0.000
Re  0.000  0.500  0.000


21.
A relaxed LaCu2ReH crystal. Source: Alexandria, functional PBE.

Computed properties:
Total energy (eV for the cell shown): -21.37

Cell lengths 4.980, 3.533, 4.980 Å; angles 90.00, 90.00, 90.00 degrees
Fractional positions:
Cu  0.500  0.000  0.000
Cu  0.000  0.000  0.500
Re  0.500  0.500  0.500
H  0.000  0.500  0.000
La  0.000  0.000  0.000


22.
A relaxed LaCuHRh2 crystal. Source: Alexandria, functional PBE.

Computed properties:
Total energy (eV for the cell shown): -28.78

Cell lengths 4.249, 4.249, 3.979 Å; angles 90.00, 90.00, 90.00 degrees
Fractional positions:
Rh  0.000  0.500  0.000
Rh  0.500  0.000  0.000
Cu  0.000  0.000  0.500
La  0.500  0.500  0.500
H  0.000  0.000  0.000


23.
A relaxed LaCu2H8Rh3 crystal. Source: Alexandria, functional PBE.

Computed properties:
Total energy (eV for the cell shown): -64.21

Cell lengths 5.826, 5.826, 5.595 Å; angles 58.62, 58.62, 60.00 degrees
Fractional positions:
H  0.711  0.711  0.866
H  0.247  0.724  0.783
H  0.247  0.247  0.783
H  0.359  0.721  0.198
H  0.721  0.721  0.198
H  0.260  0.260  0.221
H  0.724  0.247  0.783
H  0.721  0.359  0.198
Cu  0.494  0.494  0.518
Cu  0.130  0.130  0.611
Rh  0.496  0.006  0.001
Rh  0.006  0.496  0.001
Rh  0.496  0.496  0.001
La  0.880  0.880  0.361


24.
A relaxed LaCuH6Rh crystal. Source: Alexandria, functional PBE.

Computed properties:
Total energy (eV for the cell shown): -39.85

Cell lengths 4.664, 4.664, 4.427 Å; angles 90.00, 90.00, 60.00 degrees
Fractional positions:
Cu  0.667  0.667  0.500
H  0.006  0.497  0.752
H  0.006  0.497  0.248
H  0.497  0.006  0.248
H  0.497  0.497  0.752
H  0.497  0.497  0.248
H  0.497  0.006  0.752
La  0.000  0.000  0.000
Rh  0.333  0.333  0.500


25.
A relaxed La2CuH6Rh crystal. Source: Alexandria, functional PBE.

Computed properties:
Total energy (eV for the cell shown): -45.87

Cell lengths 5.160, 5.160, 5.484 Å; angles 61.94, 61.94, 90.00 degrees
Fractional positions:
H  0.741  0.259  0.000
H  0.741  0.741  0.000
H  0.259  0.741  0.000
H  0.259  0.259  0.000
H  0.217  0.217  0.565
H  0.783  0.783  0.435
Cu  0.000  0.000  0.000
La  0.750  0.250  0.500
La  0.250  0.750  0.500
Rh  0.500  0.500  0.000